Computed, not measured: an optimized crystal structure of NaAlBi at the GGA-PBE level of DFT.

Geometry as CIF:
```
data_NaAlBi
_chemical_formula_sum 'Na2 Al2 Bi2'
_space_group_name_H-M_alt 'P 1'
_space_group_IT_number 1
_space_group_name_Hall 'P 1'
_cell_length_a 9.0018
_cell_length_b 9.0018
_cell_length_c 9.0018
_cell_angle_alpha 157.23
_cell_angle_beta 143.07
_cell_angle_gamma 43.83
loop_
_atom_site_label
_atom_site_type_symbol
_atom_site_fract_x
_atom_site_fract_y
_atom_site_fract_z
Na1 Na 0.1550 0.1550 0.0000
Na2 Na 0.8450 0.8450 0.0000
Al1 Al 0.2252 0.5000 0.7252
Al2 Al 0.7748 0.5000 0.2748
Bi1 Bi 0.3565 0.3565 0.0000
Bi2 Bi 0.6435 0.6435 0.0000
```

Properties
Calculated formation energy = -0.04 eV per atom
SG = Immm (71)